A plane-wave DFT calculation with meta-GGA SCAN was carried out for Na3Mn2P2C2O14 at its PBEsol-relaxed geometry.

Calculated values
E_form (uncorrected)   -202.89 kJ/mol of atoms
Calculated total energy   -451.51 eV per cell

Geometry as CIF:
```
data_Na3Mn2P2C2O14
_chemical_formula_sum 'Na6 Mn4 P4 C4 O28'
_symmetry_space_group_name_H-M 'P 1 21 1'
_symmetry_Int_Tables_number 4
_cell_length_a 8.9474
_cell_length_b 6.4621
_cell_length_c 10.1976
_cell_angle_alpha 90.00
_cell_angle_beta 92.08
_cell_angle_gamma 90.00
loop_
_symmetry_equiv_pos_as_xyz
'x,y,z'
'-x,y+1/2,-z'
loop_
_atom_site_label
_atom_site_fract_x
_atom_site_fract_y
_atom_site_fract_z
Na1 0.2325 0.0000 0.3824
Na2 0.2349 0.5251 0.3741
Na3 0.2379 0.9717 0.8820
Mn1 0.3479 0.2636 0.1024
Mn2 0.3495 0.2683 0.6095
P1 0.4264 0.7584 0.1407
P2 0.4297 0.7651 0.6401
C1 0.0870 0.2565 0.1389
C2 0.0875 0.2630 0.6431
O1 0.0466 0.7635 0.8396
O2 0.0493 0.7617 0.3410
O3 0.1494 0.2518 0.0241
O4 0.1488 0.2696 0.5267
O5 0.1922 0.2573 0.7363
O6 0.1956 0.2558 0.2332
O7 0.3284 0.5668 0.1146
O8 0.3336 0.9508 0.1036
O9 0.3343 0.9560 0.6020
O10 0.3356 0.5753 0.5991
O11 0.4202 0.2659 0.4328
O12 0.4261 0.2477 0.9324
O13 0.4651 0.7671 0.2931
O14 0.4701 0.7682 0.7897
```